Run A
# NbSb2TeS, optimized geometry, DFT PBE
data_NbSb2TeS
_chemical_formula_sum 'Nb1 Sb2 Te1 S1'
_cell_length_a 5.3448
_cell_length_b 5.3448
_cell_length_c 5.2233
_cell_angle_alpha 90.00
_cell_angle_beta 90.00
_cell_angle_gamma 90.00
_space_group_name_H-M_alt 'P 1'
_space_group_IT_number 1
_space_group_name_Hall 'P 1'
loop_
_atom_site_label
_atom_site_type_symbol
_atom_site_fract_x
_atom_site_fract_y
_atom_site_fract_z
Sb1 Sb 0.0000 0.5000 0.0000
Sb2 Sb 0.5000 0.0000 0.0000
S1 S 0.5000 0.5000 0.5000
Te1 Te 0.0000 0.0000 0.5000
Nb1 Nb 0.0000 0.0000 0.0000
# Space-group type: No. 123
# Calculated volume in Å³/atom: 29.84

***

Run B
# NbSb2TeS, optimized geometry, DFT PBE
data_NbSb2TeS
_chemical_formula_sum 'Nb1 Sb2 Te1 S1'
_cell_length_a 5.1169
_cell_length_b 5.1169
_cell_length_c 5.1011
_cell_angle_alpha 90.00
_cell_angle_beta 90.00
_cell_angle_gamma 90.00
_space_group_name_H-M_alt 'P 1'
_space_group_IT_number 1
_space_group_name_Hall 'P 1'
loop_
_atom_site_label
_atom_site_type_symbol
_atom_site_fract_x
_atom_site_fract_y
_atom_site_fract_z
Sb1 Sb 0.5000 0.0000 0.0000
Sb2 Sb 0.0000 0.5000 0.0000
Te1 Te 0.0000 0.0000 0.5000
Nb1 Nb 0.5000 0.5000 0.5000
S1 S 0.0000 0.0000 0.0000
# Space-group type: No. 123
# Calculated volume in Å³/atom: 26.71

***

run A (0.350 eV/atom below the next structure)